[1]
Zn4RePb | GGA-PBE | relaxed

## Properties
**V**: 16.135 Å³ per atom
**Mass density**: 11.24 g cm⁻³
**Final energy**: -3.1156 eV/atom
**Energy of formation**: 0.4265 eV/atom

The structure in extended XYZ format:
```
6
Lattice="0.000 3.644 3.644 3.644 0.000 3.644 3.644 3.644 0.000" Properties=species:S:1:pos:R:3 pbc="T T T"
Zn 2.721 4.568 4.568
Zn 4.568 4.568 2.721
Zn 4.568 2.721 4.568
Zn 2.721 2.721 2.721
Re 0.000 0.000 0.000
Pb 5.467 5.467 5.467
```

=====

[2]
ZnRe2Pb | GGA-PBE | relaxed

## Properties
**V**: 17.143 Å³ per atom
**Mass density**: 15.62 g cm⁻³
**Final energy**: -6.5705 eV/atom
**Energy of formation**: 0.8991 eV/atom
**Offset from the most stable computed form**: 0.583 eV per atom

The structure in extended XYZ format:
```
4
Lattice="3.051 0.000 0.000 0.000 4.813 0.000 0.000 0.000 4.669" Properties=species:S:1:pos:R:3 pbc="T T T"
Pb 0.000 2.407 2.335
Re 0.000 0.000 0.000
Re 1.526 2.407 0.000
Zn 1.526 0.000 2.335
```

=====

[3]
ZnRePb2 | GGA-PBE | relaxed

## Properties
**V**: 23.108 Å³ per atom
**Mass density**: 11.97 g cm⁻³
**Final energy**: -4.7222 eV/atom
**Energy of formation**: 0.5625 eV/atom

The structure in extended XYZ format:
```
4
Lattice="-2.600 1.571 1.248 -1.991 -1.767 -1.923 -0.649 -5.947 6.137" Properties=species:S:1:pos:R:3 pbc="T T T"
Pb -0.602 -5.522 5.698
Pb -2.506 -2.024 1.650
Re -0.361 -3.309 3.415
Zn -2.744 -4.209 3.905
```